Compound: YU2Si2Pt7
Source: the Alexandria database
Functional: PBE-GGA
Structure: relaxed

Geometry as CIF:
```
data_YU2Si2Pt7
_chemical_formula_sum 'Y2 U4 Si4 Pt14'
_symmetry_space_group_name_H-M 'C 1 2/m 1'
_symmetry_Int_Tables_number 12
_cell_length_a 5.7662
_cell_length_b 5.6661
_cell_length_c 13.8112
_cell_angle_alpha 90.00
_cell_angle_beta 98.45
_cell_angle_gamma 90.00
loop_
_symmetry_equiv_pos_as_xyz
'x,y,z'
'-x,-y,-z'
'-x,y,-z'
'x,-y,z'
'x+1/2,y+1/2,z'
'-x+1/2,-y+1/2,-z'
'-x+1/2,y+1/2,-z'
'x+1/2,-y+1/2,z'
loop_
_atom_site_label
_atom_site_type_symbol
_atom_site_fract_x
_atom_site_fract_y
_atom_site_fract_z
Y1 Y 0.0000 0.0000 0.0000
U1 U 0.1191 0.0000 0.3584
Si1 Si 0.0929 0.5000 0.2564
Pt1 Pt 0.0000 0.5000 0.0000
Pt2 Pt 0.1422 0.5000 0.4302
Pt3 Pt 0.1907 0.2504 0.8378
```

Formation energy without anion corrections in eV/atom: -0.84

---

Compound: LiSnP3O9
Source: the Alexandria database
Functional: PBE-GGA
Structure: relaxed

Geometry as CIF:
```
data_LiSnP3O9
_chemical_formula_sum 'Li2 Sn2 P6 O18'
_symmetry_space_group_name_H-M 'P -6 c 2'
_symmetry_Int_Tables_number 188
_symmetry_space_group_name_Hall 'P -6c 2'
_cell_length_a 6.6146
_cell_length_b 6.6146
_cell_length_c 10.0116
_cell_angle_alpha 90.00
_cell_angle_beta 90.00
_cell_angle_gamma 120.00
loop_
_atom_site_label
_atom_site_type_symbol
_atom_site_fract_x
_atom_site_fract_y
_atom_site_fract_z
Li1 Li 0.0000 0.0000 0.0000
Sn1 Sn 0.6667 0.3333 0.0000
P1 P 0.0857 0.3936 0.2500
O1 O 0.1038 0.4576 0.7500
O2 O 0.3014 0.0267 0.1204
```

Formation energy without anion corrections in eV/atom: -2.05

---

Compound: La6Eu
Source: the Alexandria database
Functional: PBE-GGA
Structure: relaxed

Geometry as CIF:
```
data_La6Eu
_chemical_formula_sum 'La12 Eu2'
_symmetry_space_group_name_H-M 'I m -3 m'
_symmetry_Int_Tables_number 229
_symmetry_space_group_name_Hall '-I 4 2 3'
_cell_length_a 8.3133
_cell_length_b 8.3133
_cell_length_c 8.3133
_cell_angle_alpha 90.00
_cell_angle_beta 90.00
_cell_angle_gamma 90.00
loop_
_atom_site_label
_atom_site_type_symbol
_atom_site_fract_x
_atom_site_fract_y
_atom_site_fract_z
La1 La 0.0000 0.2500 0.5000
Eu1 Eu 0.0000 0.0000 0.0000
```

E_form in kJ/mol of formula units: 515.9

---

Compound: ZrBe2As
Source: the Alexandria database
Functional: PBE-GGA
Structure: relaxed

Geometry as CIF:
```
data_ZrBe2As
_chemical_formula_sum 'Zr3 Be6 As3'
_symmetry_space_group_name_H-M 'R -3 m'
_symmetry_Int_Tables_number 166
_symmetry_space_group_name_Hall '-R 3 2"'
_cell_length_a 2.9679
_cell_length_b 2.9679
_cell_length_c 24.3691
_cell_angle_alpha 90.00
_cell_angle_beta 90.00
_cell_angle_gamma 120.00
loop_
_atom_site_label
_atom_site_type_symbol
_atom_site_fract_x
_atom_site_fract_y
_atom_site_fract_z
Zr1 Zr 0.0000 0.0000 0.0000
Be1 Be 0.0000 0.0000 0.2396
As1 As 0.0000 0.0000 0.5000
```

E_form in kJ/mol of formula units: 156.6

---

Compound: HfPbAu
Source: the Alexandria database
Functional: PBE-GGA
Structure: relaxed

Geometry as CIF:
```
data_HfPbAu
_chemical_formula_sum 'Hf2 Pb2 Au2'
_symmetry_space_group_name_H-M 'I 4 m m'
_symmetry_Int_Tables_number 107
_symmetry_space_group_name_Hall 'I 4 -2'
_cell_length_a 3.3778
_cell_length_b 3.3778
_cell_length_c 12.0379
_cell_angle_alpha 90.00
_cell_angle_beta 90.00
_cell_angle_gamma 90.00
loop_
_atom_site_label
_atom_site_type_symbol
_atom_site_fract_x
_atom_site_fract_y
_atom_site_fract_z
Hf1 Hf 0.0000 0.0000 0.0000
Pb1 Pb 0.0000 0.0000 0.3111
Au1 Au 0.0000 0.0000 0.6290
```

E_form in kJ/mol of formula units: -39.3

---

Compound: Cu5GeSe4Br2
Source: the Alexandria database
Functional: PBE-GGA
Structure: relaxed

Geometry as CIF:
```
data_Cu5GeSe4Br2
_chemical_formula_sum 'Cu10 Ge2 Se8 Br4'
_symmetry_space_group_name_H-M 'A m m 2'
_symmetry_Int_Tables_number 38
_cell_length_a 7.6261
_cell_length_b 13.0499
_cell_length_c 5.9966
_cell_angle_alpha 90.00
_cell_angle_beta 90.00
_cell_angle_gamma 90.00
loop_
_symmetry_equiv_pos_as_xyz
'x,y,z'
'-x,-y,z'
'-x,y,z'
'x,-y,z'
'x,y+1/2,z+1/2'
'-x,-y+1/2,z+1/2'
'-x,y+1/2,z+1/2'
'x,-y+1/2,z+1/2'
loop_
_atom_site_label
_atom_site_type_symbol
_atom_site_fract_x
_atom_site_fract_y
_atom_site_fract_z
Cu1 Cu 0.0000 0.0000 0.0000
Cu2 Cu 0.2902 0.1057 0.5727
Ge1 Ge 0.5000 0.0000 0.0367
Se1 Se 0.2371 0.0000 0.2634
Se2 Se 0.5000 0.1593 0.8303
Br1 Br 0.0000 0.1496 0.7405
```

Formation energy without anion corrections in eV/atom: -0.21

---

Compound: Fe2SeS
Source: the Alexandria database
Functional: PBE-GGA
Structure: relaxed

Geometry as CIF:
```
data_Fe2SeS
_chemical_formula_sum 'Fe2 Se1 S1'
_symmetry_space_group_name_H-M 'P 1 m 1'
_symmetry_Int_Tables_number 6
_cell_length_a 3.6354
_cell_length_b 3.6412
_cell_length_c 6.3120
_cell_angle_alpha 90.00
_cell_angle_beta 106.03
_cell_angle_gamma 90.00
loop_
_symmetry_equiv_pos_as_xyz
'x,y,z'
'x,-y,z'
loop_
_atom_site_label
_atom_site_type_symbol
_atom_site_fract_x
_atom_site_fract_y
_atom_site_fract_z
Fe1 Fe 0.0000 0.0000 0.0000
Fe2 Fe 0.5003 0.5000 0.0007
Se1 Se 0.8875 0.5000 0.7656
S1 S 0.5922 0.0000 0.1922
```

Formation energy without anion corrections in eV/atom: -0.40

---

Compound: ZnOsPt2
Source: the Alexandria database
Functional: PBE-GGA
Structure: relaxed

Geometry as CIF:
```
data_ZnOsPt2
_chemical_formula_sum 'Zn1 Os1 Pt2'
_symmetry_space_group_name_H-M 'P 4 m m'
_symmetry_Int_Tables_number 99
_cell_length_a 2.7650
_cell_length_b 2.7650
_cell_length_c 7.7954
_cell_angle_alpha 90.00
_cell_angle_beta 90.00
_cell_angle_gamma 90.00
loop_
_symmetry_equiv_pos_as_xyz
'x,y,z'
'-y,x,z'
'-x,-y,z'
'y,-x,z'
'-x,y,z'
'y,x,z'
'x,-y,z'
'-y,-x,z'
loop_
_atom_site_label
_atom_site_type_symbol
_atom_site_fract_x
_atom_site_fract_y
_atom_site_fract_z
Zn1 Zn 0.0000 0.0000 0.0000
Os1 Os 0.5000 0.5000 0.2484
Pt1 Pt 0.0000 0.0000 0.4871
Pt2 Pt 0.5000 0.5000 0.7578
```

E_form in kJ/mol of formula units: -4.0

---

Compound: KLaCdTe3
Source: the Alexandria database
Functional: PBE-GGA
Structure: relaxed

Geometry as CIF:
```
data_KLaCdTe3
_chemical_formula_sum 'K2 La2 Cd2 Te6'
_symmetry_space_group_name_H-M 'P 1 21/m 1'
_symmetry_Int_Tables_number 11
_cell_length_a 9.6748
_cell_length_b 4.6583
_cell_length_c 10.9082
_cell_angle_alpha 90.00
_cell_angle_beta 105.56
_cell_angle_gamma 90.00
loop_
_symmetry_equiv_pos_as_xyz
'x,y,z'
'-x,-y,-z'
'-x,y+1/2,-z'
'x,-y+1/2,z'
loop_
_atom_site_label
_atom_site_type_symbol
_atom_site_fract_x
_atom_site_fract_y
_atom_site_fract_z
K1 K 0.2107 0.2500 0.2354
La1 La 0.3224 0.7500 0.8583
Cd1 Cd 0.0845 0.2500 0.6073
Te1 Te 0.0898 0.2500 0.8668
Te2 Te 0.2247 0.7500 0.5344
Te3 Te 0.4556 0.7500 0.1608
```

Formation energy without anion corrections in eV/atom: -1.12

---

Compound: LiAuSe2
Source: the Alexandria database
Functional: PBE-GGA
Structure: relaxed

Geometry as CIF:
```
data_LiAuSe2
_chemical_formula_sum 'Li1 Au1 Se2'
_symmetry_space_group_name_H-M 'P m m 2'
_symmetry_Int_Tables_number 25
_cell_length_a 2.9281
_cell_length_b 4.1025
_cell_length_c 7.0988
_cell_angle_alpha 90.00
_cell_angle_beta 90.00
_cell_angle_gamma 90.00
loop_
_symmetry_equiv_pos_as_xyz
'x,y,z'
'-x,-y,z'
'-x,y,z'
'x,-y,z'
loop_
_atom_site_label
_atom_site_type_symbol
_atom_site_fract_x
_atom_site_fract_y
_atom_site_fract_z
Li1 Li 0.0000 0.0000 0.0000
Au1 Au 0.5000 0.5000 0.7375
Se1 Se 0.0000 0.0000 0.5722
Se2 Se 0.5000 0.5000 0.1143
```

Formation energy without anion corrections in eV/atom: -0.30

---

Compound: Th3InAu
Source: the Alexandria database
Functional: PBE-GGA
Structure: relaxed

Geometry as CIF:
```
data_Th3InAu
_chemical_formula_sum 'Th6 In2 Au2'
_symmetry_space_group_name_H-M 'P m m n'
_symmetry_Int_Tables_number 59
_cell_length_a 3.7212
_cell_length_b 4.3086
_cell_length_c 18.6380
_cell_angle_alpha 90.00
_cell_angle_beta 90.00
_cell_angle_gamma 90.00
loop_
_symmetry_equiv_pos_as_xyz
'x,y,z'
'-x,-y,-z'
'-x+1/2,-y+1/2,z'
'x+1/2,y+1/2,-z'
'x+1/2,-y,-z'
'-x+1/2,y,z'
'-x,y+1/2,-z'
'x,-y+1/2,z'
loop_
_atom_site_label
_atom_site_type_symbol
_atom_site_fract_x
_atom_site_fract_y
_atom_site_fract_z
Th1 Th 0.2500 0.2500 0.0549
Th2 Th 0.2500 0.2500 0.2422
Th3 Th 0.2500 0.7500 0.4378
In1 In 0.2500 0.2500 0.8522
Au1 Au 0.2500 0.7500 0.6257
```

E_form in kJ/mol of formula units: -115.9

---

Compound: PmBeSb2
Source: the Alexandria database
Functional: PBE-GGA
Structure: relaxed

Geometry as CIF:
```
data_PmBeSb2
_chemical_formula_sum 'Pm1 Be1 Sb2'
_symmetry_space_group_name_H-M 'P 4/m m m'
_symmetry_Int_Tables_number 123
_symmetry_space_group_name_Hall '-P 4 2'
_cell_length_a 4.6991
_cell_length_b 4.6991
_cell_length_c 4.2942
_cell_angle_alpha 90.00
_cell_angle_beta 90.00
_cell_angle_gamma 90.00
loop_
_atom_site_label
_atom_site_type_symbol
_atom_site_fract_x
_atom_site_fract_y
_atom_site_fract_z
Pm1 Pm 0.0000 0.0000 0.0000
Be1 Be 0.5000 0.5000 0.0000
Sb1 Sb 0.0000 0.5000 0.5000
```

Formation energy without anion corrections in eV/atom: -0.16